w | The following is a GGA-PBE calculation of crystalline CsCuPO2 at its relaxed geometry, from Alexandria via LeMat-Bulk.

Cell lengths 4.172, 4.172, 7.441 Å; angles 90.00, 90.00, 90.00 degrees
Fractional coordinates of all 5 atoms:
O: 0.000 0.500 0.000
O: 0.500 0.000 0.000
Cu: 0.500 0.500 0.500
Cs: 0.000 0.000 0.000
P: 0.000 0.000 0.500

***

x | The following is a GGA-PBE calculation of crystalline CsCuPO2 at its relaxed geometry, from Alexandria via LeMat-Bulk.

Cell lengths 4.239, 4.239, 4.490 Å; angles 90.00, 90.00, 90.00 degrees
Fractional coordinates of all 5 atoms:
O: 0.500 0.000 0.000
O: 0.000 0.500 0.000
P: 0.000 0.000 0.500
Cs: 0.500 0.500 0.500
Cu: 0.000 0.000 0.000

***

Most stable structure - x; separation to the second - 919 meV/atom.

***

w | The following is a GGA-PBE calculation of crystalline CsCuP3 at its relaxed geometry, from Alexandria via LeMat-Bulk.

Cell lengths 4.818, 4.818, 4.818 Å; angles 90.00, 90.00, 90.00 degrees
Fractional coordinates of all 5 atoms:
P: 0.500 0.000 0.000
P: 0.000 0.000 0.500
P: 0.000 0.500 0.000
Cs: 0.500 0.500 0.500
Cu: 0.000 0.000 0.000

***

x | The following is a GGA-PBE calculation of crystalline CsCuP3 at its relaxed geometry, from Alexandria via LeMat-Bulk.

Cell lengths 5.486, 5.486, 5.486 Å; angles 90.00, 90.00, 90.00 degrees
Fractional coordinates of all 5 atoms:
Cu: 0.500 0.500 0.500
Cs: 0.000 0.000 0.000
P: 0.000 0.000 0.500
P: 0.000 0.500 0.000
P: 0.500 0.000 0.000

***

Most stable structure - w; separation to the second - 1751 meV/atom.

***

w | The following is a GGA-PBE calculation of crystalline CsCuPb3 at its relaxed geometry, from Alexandria via LeMat-Bulk.

Cell lengths 6.382, 6.382, 6.382 Å; angles 90.00, 90.00, 90.00 degrees
Fractional coordinates of all 5 atoms:
Pb: 0.500 0.000 0.000
Pb: 0.000 0.000 0.500
Pb: 0.000 0.500 0.000
Cu: 0.500 0.500 0.500
Cs: 0.000 0.000 0.000

***

x | The following is a GGA-PBE calculation of crystalline CsCuPb3 at its relaxed geometry, from Alexandria via LeMat-Bulk.

Cell lengths 5.547, 5.547, 5.547 Å; angles 90.00, 90.00, 90.00 degrees
Fractional coordinates of all 5 atoms:
Pb: 0.000 0.500 0.000
Pb: 0.500 0.000 0.000
Pb: 0.000 0.000 0.500
Cs: 0.500 0.500 0.500
Cu: 0.000 0.000 0.000

***

Most stable structure - x; separation to the second - 1448 meV/atom.

***

w | The following is a GGA-PBE calculation of crystalline CsCu3Pb at its relaxed geometry, from Alexandria via LeMat-Bulk.

Cell lengths 5.215, 5.215, 5.215 Å; angles 90.00, 90.00, 90.00 degrees
Fractional coordinates of all 5 atoms:
Cu: 0.500 0.000 0.000
Cu: 0.000 0.500 0.000
Cu: 0.000 0.000 0.500
Cs: 0.500 0.500 0.500
Pb: 0.000 0.000 0.000

***

x | The following is a GGA-PBE calculation of crystalline CsCu3Pb at its relaxed geometry, from Alexandria via LeMat-Bulk.

Cell lengths 5.435, 5.435, 5.435 Å; angles 90.00, 90.00, 90.00 degrees
Fractional coordinates of all 5 atoms:
Cs: 0.000 0.000 0.000
Pb: 0.500 0.500 0.500
Cu: 0.000 0.000 0.500
Cu: 0.500 0.000 0.000
Cu: 0.000 0.500 0.000

***

Most stable structure - w; separation to the second - 1112 meV/atom.

***

w | The following is a GGA-PBE calculation of crystalline CsCuPd2 at its relaxed geometry, from Alexandria via LeMat-Bulk.

Cell lengths 4.893, 4.893, 4.893 Å; angles 60.00, 60.00, 60.00 degrees
Fractional coordinates of all 4 atoms:
Cs: 0.500 0.500 0.500
Pd: 0.750 0.750 0.750
Pd: 0.250 0.250 0.250
Cu: 0.000 0.000 0.000

***

x | The following is a GGA-PBE calculation of crystalline CsCuPd2 at its relaxed geometry, from Alexandria via LeMat-Bulk.

Cell lengths 5.256, 5.256, 9.230 Å; angles 73.46, 73.46, 90.00 degrees
Fractional coordinates of all 8 atoms:
Pd: 0.375 0.580 0.750
Pd: 0.420 0.125 0.250
Pd: 0.875 0.670 0.750
Pd: 0.330 0.625 0.250
Cu: 0.250 0.750 0.500
Cu: 0.500 0.500 0.000
Cs: 0.000 0.000 0.000
Cs: 0.750 0.250 0.500

***

Most stable structure - x; separation to the second - 266 meV/atom.

***

w | The following is a GGA-PBE calculation of crystalline CsCuPd3 at its relaxed geometry, from Alexandria via LeMat-Bulk.

Cell lengths 4.864, 4.864, 4.864 Å; angles 90.00, 90.00, 90.00 degrees
Fractional coordinates of all 5 atoms:
Pd: 0.500 0.000 0.000
Pd: 0.000 0.500 0.000
Pd: 0.000 0.000 0.500
Cu: 0.000 0.000 0.000
Cs: 0.500 0.500 0.500

***

x | The following is a GGA-PBE calculation of crystalline CsCuPd3 at its relaxed geometry, from Alexandria via LeMat-Bulk.

Cell lengths 5.287, 5.287, 5.287 Å; angles 90.00, 90.00, 90.00 degrees
Fractional coordinates of all 5 atoms:
Pd: 0.000 0.000 0.500
Pd: 0.000 0.500 0.000
Pd: 0.500 0.000 0.000
Cu: 0.500 0.500 0.500
Cs: 0.000 0.000 0.000

***

Most stable structure - w; separation to the second - 1194 meV/atom.